Below is a crystal of Cs2Na2B10O17 relaxed with PBEsol, with properties calculated at the meta-GGA SCAN level.

* formation energy from raw total energies: -2.609 eV per atom
* crystal system: monoclinic
* E: -0.8183 Ry per atom
* ρ: 2987 kg/m³
* D(E_F): 0.0000 states/eV per atom
* M_tot: 0.0 μB per cell

Lattice parameters (Å, degrees): 11.4346 11.4346 11.0697 104.64 104.64 33.43
With the nearest neighbours (Å) after each atom.
Positions (direct):
1 Cs 0.1254 0.7458 0.9052  6 O 2.97-3.26
2 Cs 0.2542 0.8746 0.5948  6 O 2.97-3.26
3 Cs 0.7458 0.1254 0.4052  6 O 2.97-3.26
4 Cs 0.8746 0.2542 0.0948  6 O 2.97-3.26
5 Na 0.1933 0.2753 0.1842  6 O 2.32-2.57
6 Na 0.2753 0.1933 0.6842  6 O 2.32-2.57
7 Na 0.7247 0.8067 0.3158  6 O 2.32-2.57
8 Na 0.8067 0.7247 0.8158  6 O 2.32-2.57
9 B 0.0207 0.2919 0.8506  4 O 1.45-1.50
10 B 0.0562 0.6090 0.5621  3 O 1.36-1.40
11 B 0.1769 0.5316 0.3579  4 O 1.44-1.49
12 B 0.2441 0.3925 0.9940  3 O 1.36-1.40
13 B 0.2443 0.6439 0.2621  3 O 1.36-1.39
14 B 0.2919 0.0207 0.3506  4 O 1.45-1.50
15 B 0.3561 0.7557 0.2379  3 O 1.36-1.39
16 B 0.3910 0.9438 0.9379  3 O 1.36-1.40
17 B 0.3925 0.2441 0.4940  3 O 1.36-1.40
18 B 0.4684 0.8231 0.1421  4 O 1.44-1.49
19 B 0.5316 0.1769 0.8579  4 O 1.44-1.49
20 B 0.6075 0.7559 0.5060  3 O 1.36-1.40
21 B 0.6090 0.0562 0.0621  3 O 1.36-1.40
22 B 0.6439 0.2443 0.7621  3 O 1.36-1.39
23 B 0.7081 0.9793 0.6494  4 O 1.45-1.50
24 B 0.7557 0.3561 0.7379  3 O 1.36-1.39
25 B 0.7559 0.6075 0.0060  3 O 1.36-1.40
26 B 0.8231 0.4684 0.6421  4 O 1.44-1.49
27 B 0.9438 0.3910 0.4379  3 O 1.36-1.40
28 B 0.9793 0.7081 0.1494  4 O 1.45-1.50
29 O 0.0340 0.6766 0.4620  2 B 1.36-1.49
30 O 0.0419 0.5940 0.0222  2 B 1.36-1.49
31 O 0.0508 0.5854 0.2425  2 B 1.44-1.45
32 O 0.0709 0.7576 0.1777  2 B 1.37-1.50
33 O 0.0896 0.2557 0.3510  2 B 1.36-1.48
34 O 0.2377 0.3911 0.5808  2 B 1.40
35 O 0.2424 0.9291 0.3223  2 B 1.37-1.50
36 O 0.2557 0.0896 0.8510  2 B 1.36-1.48
37 O 0.2877 0.5537 0.3576  2 B 1.36-1.49
38 O 0.3059 0.3453 0.8792  2 B 1.37-1.49
39 O 0.3234 0.9660 0.0380  2 B 1.36-1.49
40 O 0.3453 0.3059 0.3792  2 B 1.37-1.49
41 O 0.3856 0.6144 0.2500  2 B 1.39
42 O 0.3911 0.2377 0.0808  2 B 1.40
43 O 0.4060 0.9581 0.4778  2 B 1.36-1.49
44 O 0.4146 0.9492 0.2575  2 B 1.44-1.45
45 O 0.4463 0.7123 0.1424  2 B 1.36-1.49
46 O 0.5537 0.2877 0.8576  2 B 1.36-1.49
47 O 0.5854 0.0508 0.7425  2 B 1.44-1.45
48 O 0.5940 0.0419 0.5222  2 B 1.36-1.49
49 O 0.6089 0.7623 0.9192  2 B 1.40
50 O 0.6144 0.3856 0.7500  2 B 1.39
51 O 0.6547 0.6941 0.6208  2 B 1.37-1.49
52 O 0.6766 0.0340 0.9620  2 B 1.36-1.49
53 O 0.6941 0.6547 0.1208  2 B 1.37-1.49
54 O 0.7123 0.4463 0.6424  2 B 1.36-1.49
55 O 0.7443 0.9104 0.1490  2 B 1.36-1.48
56 O 0.7576 0.0709 0.6777  2 B 1.37-1.50
57 O 0.7623 0.6089 0.4192  2 B 1.40
58 O 0.9104 0.7443 0.6490  2 B 1.36-1.48
59 O 0.9291 0.2424 0.8223  2 B 1.37-1.50
60 O 0.9492 0.4146 0.7575  2 B 1.44-1.45
61 O 0.9581 0.4060 0.9778  2 B 1.36-1.49
62 O 0.9660 0.3234 0.5380  2 B 1.36-1.49

---

Below is a crystal of CsNbBW2 relaxed with PBEsol, with properties calculated at the meta-GGA SCAN level.

* crystal system: tetragonal
* E: -3.0706 Ry per atom
* ρ: 11475 kg/m³
* D(E_F): 1.1401 states/eV per atom
* M_tot: 0.0 μB per cell

Lattice parameters (Å, degrees): 4.3314 4.3314 4.6612 90.00 90.00 90.00
With the nearest neighbours (Å) after each atom.
Positions (direct):
1 Cs 0.0000 0.0000 0.0000  4 Nb 3.06, 8 W 3.18
2 Nb 0.5000 0.5000 0.0000  2 B 2.33
3 B 0.5000 0.5000 0.5000  4 W 2.17, 2 Nb 2.33
4 W 0.0000 0.5000 0.5000  2 B 2.17
5 W 0.5000 0.0000 0.5000  2 B 2.17

---

Below is a crystal of CsNi3B relaxed with PBEsol, with properties calculated at the meta-GGA SCAN level.

* crystal system: cubic
* E: -1.3195 Ry per atom
* ρ: 7622 kg/m³
* D(E_F): 0.3525 states/eV per atom
* M_tot: 0.0 μB per cell

Lattice parameters (Å, degrees): 4.1149 4.1149 4.1149 90.00 90.00 90.00
With the nearest neighbours (Å) after each atom.
Positions (direct):
1 Cs 0.0000 0.0000 0.0000  12 Ni 2.91
2 Ni 0.0000 0.5000 0.5000  2 B 2.06
3 Ni 0.5000 0.0000 0.5000  2 B 2.06
4 Ni 0.5000 0.5000 0.0000  2 B 2.06
5 B 0.5000 0.5000 0.5000  6 Ni 2.06

---

Q: Among the records above, which one has the lowest ρ?
A: Cs2Na2B10O17

---

What did the third record say?
Below is a crystal of CsNi3B relaxed with PBEsol, with properties calculated at the meta-GGA SCAN level.

* crystal system: cubic
* E: -1.3195 Ry per atom
* ρ: 7622 kg/m³
* D(E_F): 0.3525 states/eV per atom
* M_tot: 0.0 μB per cell

Lattice parameters (Å, degrees): 4.1149 4.1149 4.1149 90.00 90.00 90.00
With the nearest neighbours (Å) after each atom.
Positions (direct):
1 Cs 0.0000 0.0000 0.0000  12 Ni 2.91
2 Ni 0.0000 0.5000 0.5000  2 B 2.06
3 Ni 0.5000 0.0000 0.5000  2 B 2.06
4 Ni 0.5000 0.5000 0.0000  2 B 2.06
5 B 0.5000 0.5000 0.5000  6 Ni 2.06

---

Q: Among the records above, which one has the highest E?
A: Cs2Na2B10O17